Entry from Alexandria via LeMat-Bulk: crystalline KRuPt2 at its relaxed geometry (PBE).

Computed properties:
The calculation puts the total energy at -4.786 eV per atom. The value obtained for the total magnetization is 0.721 μB/atom. Its formation energy is 828 meV per atom. The calculation puts the calculated volume at 18.23 Å³ per atom. The calculation puts the distance to the lowest polymorph of the same formula at 0.678 eV/atom. Its space group is I4/mmm (139).

Structure (CIF):
```
data_KRuPt2
_chemical_formula_sum 'K1 Ru1 Pt2'
_cell_length_a 4.924
_cell_length_b 4.924
_cell_length_c 4.924
_cell_angle_alpha 127.48
_cell_angle_beta 127.48
_cell_angle_gamma 77.46
_symmetry_space_group_name_H-M 'P 1'
_symmetry_Int_Tables_number 1
_symmetry_space_group_name_Hall 'P 1'
loop_
_atom_site_label
_atom_site_type_symbol
_atom_site_fract_x
_atom_site_fract_y
_atom_site_fract_z
K1 K 0.000 0.000 0.000
Ru1 Ru 0.500 0.500 0.000
Pt1 Pt 0.250 0.750 0.500
Pt2 Pt 0.750 0.250 0.500
```

Entry from Alexandria via LeMat-Bulk: crystalline TmGaHg2 at its relaxed geometry (PBE).

Computed properties:
The calculation puts the total energy at -2.188 eV per atom. The value obtained for the total magnetization is 0.000 μB/atom. Its formation energy is -163 meV per atom. The calculation puts the calculated volume at 24.86 Å³ per atom. Its space group is Cm (8).

Structure (CIF):
```
data_TmGaHg2
_chemical_formula_sum 'Tm1 Ga1 Hg2'
_cell_length_a 3.735
_cell_length_b 3.735
_cell_length_c 8.539
_cell_angle_alpha 102.70
_cell_angle_beta 102.70
_cell_angle_gamma 59.67
_symmetry_space_group_name_H-M 'P 1'
_symmetry_Int_Tables_number 1
_symmetry_space_group_name_Hall 'P 1'
loop_
_atom_site_label
_atom_site_type_symbol
_atom_site_fract_x
_atom_site_fract_y
_atom_site_fract_z
Tm1 Tm 0.000 0.000 0.000
Ga1 Ga 0.169 0.169 0.499
Hg1 Hg 0.420 0.420 0.264
Hg2 Hg 0.579 0.579 0.733
```

Entry from Alexandria via LeMat-Bulk: crystalline Ti6ZnIn5 at its relaxed geometry (PBE).

Computed properties:
The calculation puts the total energy at -5.344 eV per atom. The value obtained for the total magnetization is 0.000 μB/atom. Its formation energy is -150 meV per atom. The calculation puts the calculated volume at 18.59 Å³ per atom. Its space group is Cmmm (65).

Structure (CIF):
```
data_Ti6ZnIn5
_chemical_formula_sum 'Ti6 Zn1 In5'
_cell_length_a 6.607
_cell_length_b 6.607
_cell_length_c 8.503
_cell_angle_alpha 90.00
_cell_angle_beta 90.00
_cell_angle_gamma 143.05
_symmetry_space_group_name_H-M 'P 1'
_symmetry_Int_Tables_number 1
_symmetry_space_group_name_Hall 'P 1'
loop_
_atom_site_label
_atom_site_type_symbol
_atom_site_fract_x
_atom_site_fract_y
_atom_site_fract_z
Ti1 Ti 0.000 0.000 0.242
Ti2 Ti 0.000 0.000 0.758
Ti3 Ti 0.335 0.665 0.243
Ti4 Ti 0.335 0.665 0.757
Ti5 Ti 0.665 0.335 0.243
Ti6 Ti 0.665 0.335 0.757
Zn1 Zn 0.500 0.500 0.000
In1 In 0.161 0.839 0.000
In2 In 0.167 0.833 0.500
In3 In 0.500 0.500 0.500
In4 In 0.833 0.167 0.500
In5 In 0.839 0.161 0.000
```

Entry from Alexandria via LeMat-Bulk: crystalline SmDy2Ho6Sc3 at its relaxed geometry (PBE).

Computed properties:
The calculation puts the total energy at -4.988 eV per atom. The value obtained for the total magnetization is 0.000 μB/atom. Its formation energy is 44 meV per atom. The calculation puts the calculated volume at 29.58 Å³ per atom. Its space group is C2/m (12).

Structure (CIF):
```
data_SmDy2Ho6Sc3
_chemical_formula_sum 'Sm1 Dy2 Ho6 Sc3'
_cell_length_a 6.030
_cell_length_b 6.030
_cell_length_c 11.448
_cell_angle_alpha 95.03
_cell_angle_beta 95.03
_cell_angle_gamma 119.97
_symmetry_space_group_name_H-M 'P 1'
_symmetry_Int_Tables_number 1
_symmetry_space_group_name_Hall 'P 1'
loop_
_atom_site_label
_atom_site_type_symbol
_atom_site_fract_x
_atom_site_fract_y
_atom_site_fract_z
Sm1 Sm 0.000 0.000 0.000
Dy1 Dy 0.333 0.667 0.000
Dy2 Dy 0.667 0.333 0.000
Ho1 Ho 0.087 0.420 0.260
Ho2 Ho 0.247 0.247 0.740
Ho3 Ho 0.420 0.087 0.260
Ho4 Ho 0.580 0.913 0.740
Ho5 Ho 0.753 0.753 0.260
Ho6 Ho 0.913 0.580 0.740
Sc1 Sc 0.167 0.833 0.500
Sc2 Sc 0.500 0.500 0.500
Sc3 Sc 0.833 0.167 0.500
```

Entry from Alexandria via LeMat-Bulk: crystalline KLiNi2 at its relaxed geometry (PBE).

Computed properties:
The calculation puts the total energy at -2.726 eV per atom. The value obtained for the total magnetization is 0.000 μB/atom. Its formation energy is 917 meV per atom. The calculation puts the calculated volume at 17.94 Å³ per atom. The calculation puts the distance to the lowest polymorph of the same formula at 0.559 eV/atom. Its space group is Fm-3m (225).

Structure (CIF):
```
data_KLiNi2
_chemical_formula_sum 'K1 Li1 Ni2'
_cell_length_a 4.664
_cell_length_b 4.664
_cell_length_c 4.664
_cell_angle_alpha 60.00
_cell_angle_beta 60.00
_cell_angle_gamma 60.00
_symmetry_space_group_name_H-M 'P 1'
_symmetry_Int_Tables_number 1
_symmetry_space_group_name_Hall 'P 1'
loop_
_atom_site_label
_atom_site_type_symbol
_atom_site_fract_x
_atom_site_fract_y
_atom_site_fract_z
K1 K 0.000 0.000 0.000
Li1 Li 0.500 0.500 0.500
Ni1 Ni 0.250 0.250 0.250
Ni2 Ni 0.750 0.750 0.750
```

Entry from Alexandria via LeMat-Bulk: crystalline KCaAg2 at its relaxed geometry (PBE).

Computed properties:
The calculation puts the total energy at -2.250 eV per atom. The value obtained for the total magnetization is 0.000 μB/atom. Its formation energy is -50 meV per atom. The calculation puts the calculated volume at 28.69 Å³ per atom. The calculation puts the distance to the lowest polymorph of the same formula at 0.086 eV/atom. Its space group is C2/m (12).

Structure (CIF):
```
data_KCaAg2
_chemical_formula_sum 'K1 Ca1 Ag2'
_cell_length_a 5.609
_cell_length_b 5.609
_cell_length_c 3.648
_cell_angle_alpha 90.11
_cell_angle_beta 90.11
_cell_angle_gamma 90.29
_symmetry_space_group_name_H-M 'P 1'
_symmetry_Int_Tables_number 1
_symmetry_space_group_name_Hall 'P 1'
loop_
_atom_site_label
_atom_site_type_symbol
_atom_site_fract_x
_atom_site_fract_y
_atom_site_fract_z
K1 K 0.000 0.000 0.000
Ca1 Ca 0.500 0.500 0.000
Ag1 Ag 0.000 0.500 0.500
Ag2 Ag 0.500 0.000 0.500
```

Entry from Alexandria via LeMat-Bulk: crystalline Sr2CaPbO at its relaxed geometry (PBE).

Computed properties:
The calculation puts the total energy at -4.277 eV per atom. The value obtained for the total magnetization is 0.000 μB/atom. The calculation puts the calculated volume at 26.66 Å³ per atom. The calculation puts the uncorrected formation energy at -1.471 eV/atom. Its space group is P4/mmm (123).

Structure (CIF):
```
data_Sr2CaPbO
_chemical_formula_sum 'Sr2 Ca1 Pb1 O1'
_cell_length_a 5.181
_cell_length_b 5.181
_cell_length_c 4.965
_cell_angle_alpha 90.00
_cell_angle_beta 90.00
_cell_angle_gamma 90.00
_symmetry_space_group_name_H-M 'P 1'
_symmetry_Int_Tables_number 1
_symmetry_space_group_name_Hall 'P 1'
loop_
_atom_site_label
_atom_site_type_symbol
_atom_site_fract_x
_atom_site_fract_y
_atom_site_fract_z
Sr1 Sr 0.000 0.500 0.000
Sr2 Sr 0.500 0.000 0.000
Ca1 Ca 0.000 0.000 0.500
Pb1 Pb 0.500 0.500 0.500
O1 O 0.000 0.000 0.000
```

Entry from Alexandria via LeMat-Bulk: crystalline Rb3U3SnSe8 at its relaxed geometry (PBE).

Computed properties:
The calculation puts the total energy at -5.720 eV per atom. The value obtained for the total magnetization is 0.467 μB/atom. The calculation puts the calculated volume at 33.84 Å³ per atom. The calculation puts the uncorrected formation energy at -1.143 eV/atom. Its space group is R-3m (166).

Structure (CIF):
```
data_Rb3U3SnSe8
_chemical_formula_sum 'Rb3 U3 Sn1 Se8'
_cell_length_a 9.403
_cell_length_b 9.403
_cell_length_c 9.403
_cell_angle_alpha 54.15
_cell_angle_beta 54.15
_cell_angle_gamma 54.15
_symmetry_space_group_name_H-M 'P 1'
_symmetry_Int_Tables_number 1
_symmetry_space_group_name_Hall 'P 1'
loop_
_atom_site_label
_atom_site_type_symbol
_atom_site_fract_x
_atom_site_fract_y
_atom_site_fract_z
Rb1 Rb 0.000 0.500 0.500
Rb2 Rb 0.500 0.000 0.500
Rb3 Rb 0.500 0.500 0.000
U1 U 0.000 0.000 0.500
U2 U 0.000 0.500 0.000
U3 U 0.500 0.000 0.000
Sn1 Sn 0.500 0.500 0.500
Se1 Se 0.215 0.739 0.739
Se2 Se 0.232 0.232 0.232
Se3 Se 0.261 0.261 0.785
Se4 Se 0.261 0.785 0.261
Se5 Se 0.739 0.215 0.739
Se6 Se 0.739 0.739 0.215
Se7 Se 0.768 0.768 0.768
Se8 Se 0.785 0.261 0.261
```

Question: calculated volume of number 3 (Ti6ZnIn5)?
Answer: 18.59 Å³ per atom

Question: calculated volume of number 3 (Ti6ZnIn5)?
Answer: 18.59 Å³ per atom

Question: Look up the total magnetization of the seventh one.
Answer: 0.000 μB/atom

Question: What is the formula in the first record?
Answer: KRuPt2